VASP calculation (GGA-PBE) on a geometry-optimized Pr2IBrO2 structure.

Values from the calculation:
As for the crystal system: tetragonal. The calculation puts the total energy at -6.529 eV/atom.

a b c (Å): 4.0711 4.0711 9.0198
angles (deg): 90.00 90.00 90.00
Atoms (fractional coordinates):
Pr (0.0000, 0.0000, 0.8612)
Pr (0.5000, 0.5000, 0.1275)
O (0.5000, 0.0000, 0.9948)
O (0.0000, 0.5000, 0.9948)
Br (0.5000, 0.5000, 0.6821)
I (0.0000, 0.0000, 0.3395)


VASP calculation (GGA-PBE) on a geometry-optimized Sb2H16PdO8F12 structure.

Values from the calculation:
As for the crystal system: monoclinic. The calculation puts the total energy at -4.770 eV/atom.

a b c (Å): 7.8614 12.4508 7.4218
angles (deg): 90.00 114.47 90.00
Atoms (fractional coordinates):
F (0.5152, 0.2268, 0.2798)
F (0.7028, 0.6353, 0.9925)
F (0.3276, 0.3783, 0.3822)
F (0.4848, 0.7268, 0.2202)
F (0.2972, 0.3647, 0.0075)
F (0.4812, 0.9679, 0.7452)
F (0.7039, 0.1126, 0.0174)
F (0.3276, 0.8848, 0.3533)
F (0.2972, 0.1353, 0.5075)
F (0.5188, 0.0321, 0.2548)
F (0.3276, 0.6152, 0.8533)
F (0.5152, 0.2732, 0.7798)
F (0.4812, 0.5321, 0.2452)
F (0.6724, 0.1152, 0.6467)
F (0.7028, 0.8647, 0.4925)
F (0.2961, 0.6126, 0.4826)
F (0.3276, 0.1217, 0.8822)
F (0.6724, 0.8783, 0.1178)
F (0.5188, 0.4679, 0.7548)
F (0.7039, 0.3874, 0.5174)
F (0.6724, 0.3848, 0.1467)
F (0.6724, 0.6217, 0.6178)
F (0.4848, 0.7732, 0.7202)
F (0.2961, 0.8874, 0.9826)
H (0.9142, 0.3083, 0.1687)
H (0.7207, 0.1252, 0.3646)
H (0.9031, 0.1923, 0.3530)
H (0.2977, 0.1463, 0.1770)
H (0.7023, 0.6463, 0.3230)
H (0.8680, 0.0118, 0.1324)
H (0.0776, 0.4501, 0.6976)
H (0.9224, 0.5499, 0.3024)
H (0.7207, 0.3748, 0.8646)
H (0.9031, 0.3077, 0.8530)
H (0.1067, 0.3323, 0.4843)
H (0.9215, 0.7219, 0.2633)
H (0.2793, 0.8748, 0.6354)
H (0.2793, 0.6252, 0.1354)
H (0.2977, 0.3537, 0.6770)
H (0.1320, 0.5118, 0.3676)
H (0.0785, 0.2781, 0.7367)
H (0.8680, 0.4882, 0.6324)
H (0.9142, 0.1917, 0.6687)
H (0.0858, 0.6917, 0.8313)
H (0.0785, 0.2219, 0.2367)
H (0.7023, 0.8537, 0.8230)
H (0.9215, 0.7781, 0.7633)
H (0.0776, 0.0499, 0.1976)
H (0.1320, 0.9882, 0.8676)
H (0.8933, 0.8323, 0.0157)
H (0.0969, 0.6923, 0.1470)
H (0.0858, 0.8083, 0.3313)
H (0.8933, 0.6677, 0.5157)
H (0.9224, 0.9501, 0.8024)
H (0.1067, 0.1677, 0.9843)
H (0.0969, 0.8077, 0.6470)
O (0.9945, 0.2640, 0.2842)
O (0.9966, 0.5068, 0.7247)
O (0.0034, 0.0068, 0.7753)
O (0.0055, 0.7360, 0.7158)
O (0.1614, 0.1430, 0.1266)
O (0.1444, 0.6385, 0.0644)
O (0.1614, 0.3570, 0.6266)
O (0.8556, 0.3615, 0.9356)
O (0.9966, 0.9932, 0.2247)
O (0.8556, 0.1385, 0.4356)
O (0.9945, 0.2360, 0.7842)
O (0.1444, 0.8615, 0.5644)
O (0.8386, 0.6430, 0.3734)
O (0.8386, 0.8570, 0.8734)
O (0.0055, 0.7640, 0.2158)
O (0.0034, 0.4932, 0.2753)
Sb (0.4981, 0.1204, 0.7612)
Sb (0.5019, 0.6204, 0.7388)
Sb (0.4981, 0.3796, 0.2612)
Sb (0.5019, 0.8796, 0.2388)
Pd (0.0000, 0.5000, 0.0000)
Pd (0.0000, 0.0000, 0.5000)


VASP calculation (GGA-PBE) on a geometry-optimized NbCl structure.

Values from the calculation:
As for the crystal system: hexagonal. The calculation puts the total energy at -5.867 eV/atom.

a b c (Å): 3.0637 3.0636 4.1539
angles (deg): 90.00 90.00 120.00
Atoms (fractional coordinates):
Cl (0.6667, 0.3333, 0.7500)
Nb (0.3333, 0.6667, 0.2500)